1.
TbPrDy2 after structural relaxation, computed with GGA-PBE.

Lattice parameters (Å, degrees): 3.6050 3.6050 11.5774 90.00 90.00 120.00
Closest atoms and distances in Å follow each position.
Space group P-3m1 (No. 164)
Symmetry-distinct sites (fractional):
Tb: 0.0000 0.0000 0.0000 [1 per cell]  6 Dy 3.53, 6 Tb 3.60
Pr: 0.0000 0.0000 0.5000 [1 per cell]  6 Dy 3.60, 6 Pr 3.60
Dy: 0.3333 0.6667 0.7534 [2 per cell]  3 Tb 3.53, 3 Pr 3.60, 6 Dy 3.60

Calculated values
The energy relative to the lowest polymorph listed for this composition is 0 meV/atom. The total energy is -4.655 eV per atom. The calculation puts the formation energy at -0.001 eV per atom.



2.
KLa2Mg after structural relaxation, computed with GGA-PBE.

Lattice parameters (Å, degrees): 5.2733 5.2733 10.6677 90.00 90.00 90.00
Closest atoms and distances in Å follow each position.
Space group I4/mmm (No. 139)
Symmetry-distinct sites (fractional):
K: 0.0000 0.0000 0.0000 [2 per cell]  4 Mg 3.73, 8 La 3.75
La: 0.0000 0.5000 0.2500 [4 per cell]  4 La 3.73, 4 K 3.75, 4 Mg 3.75
Mg: 0.0000 0.0000 0.5000 [2 per cell]  4 K 3.73, 8 La 3.75

Calculated values
The total energy is -2.786 eV per atom. The calculation puts the formation energy at 0.351 eV per atom.



3.
SnGeAsHIr after structural relaxation, computed with GGA-PBE.

Lattice parameters (Å, degrees): 3.0489 4.6427 6.7250 106.45 95.76 103.98
Closest atoms and distances in Å follow each position.
Space group P1 (No. 1)
Symmetry-distinct sites (fractional):
Sn: 0.0000 0.0000 0.0000 [1 per cell]  2 H 2.48-2.61, 1 Ir 2.74
Ge: 0.4669 0.2880 0.6400 [1 per cell]  1 H 1.65
As: 0.1302 0.6256 0.2601 [1 per cell]  2 Ir 2.48-2.49, 1 H 2.68
H: 0.5191 0.4156 0.8988 [1 per cell]  1 Ge 1.65
Ir: 0.7641 0.8023 0.5686 [1 per cell]  2 As 2.48-2.49, 3 Ge 2.54-2.60, 1 Sn 2.74

Calculated values
The energy relative to the lowest polymorph listed for this composition is 121 meV/atom. The total energy is -5.058 eV per atom.